Entry 1:
Ba2AgBiO | PBE-GGA | optimized geometry

Output
total energy = -43.4 eV for the cell shown
total moment = 0.000 μB per formula unit
energy relative to the elements, uncorrected = -118.80 kJ per mole of atoms
volume = 30.680 A^3/atom

The structure in CIF format:
```
data_Ba2AgBiO
_symmetry_space_group_name_H-M 'P 1'
_symmetry_Int_Tables_number 1
_cell_length_a 7.536
_cell_length_b 4.606
_cell_length_c 9.300
_cell_angle_alpha 90.00
_cell_angle_beta 108.11
_cell_angle_gamma 90.00
loop_
_symmetry_equiv_pos_as_xyz
'x,y,z'
loop_
_atom_site_label
_atom_site_type_symbol
_atom_site_fract_x
_atom_site_fract_y
_atom_site_fract_z
Ba1 Ba 0.201 0.250 0.371
Ba2 Ba 0.208 0.250 0.969
Ba3 Ba 0.792 0.750 0.031
Ba4 Ba 0.799 0.750 0.629
Ag1 Ag 0.463 0.750 0.245
Ag2 Ag 0.537 0.250 0.755
Bi1 Bi 0.308 0.750 0.693
Bi2 Bi 0.692 0.250 0.307
O1 O 0.142 0.750 0.158
O2 O 0.858 0.250 0.842
```

Entry 2:
Ac8GaIr3I4 | PBE-GGA | optimized geometry

Output
total energy = -84.2 eV for the cell shown
total moment = 0.000 μB per formula unit
energy relative to the elements, uncorrected = -93.52 kJ per mole of atoms
volume = 37.299 A^3/atom

The structure in CIF format:
```
data_Ac8GaIr3I4
_symmetry_space_group_name_H-M 'P 1'
_symmetry_Int_Tables_number 1
_cell_length_a 8.972
_cell_length_b 8.972
_cell_length_c 10.012
_cell_angle_alpha 116.68
_cell_angle_beta 116.68
_cell_angle_gamma 59.99
loop_
_symmetry_equiv_pos_as_xyz
'x,y,z'
loop_
_atom_site_label
_atom_site_type_symbol
_atom_site_fract_x
_atom_site_fract_y
_atom_site_fract_z
Ac1 Ac 0.212 0.737 0.684
Ac2 Ac 0.229 0.229 0.687
Ac3 Ac 0.263 0.788 0.316
Ac4 Ac 0.264 0.264 0.316
Ac5 Ac 0.736 0.736 0.684
Ac6 Ac 0.737 0.212 0.684
Ac7 Ac 0.771 0.771 0.313
Ac8 Ac 0.788 0.263 0.316
Ga1 Ga 0.500 0.500 0.500
Ir1 Ir 0.000 0.000 0.500
Ir2 Ir 0.000 0.500 0.500
Ir3 Ir 0.500 0.000 0.500
I1 I 0.000 0.000 0.000
I2 I 0.000 0.500 0.000
I3 I 0.500 0.000 0.000
I4 I 0.500 0.500 0.000
```

Entry 3:
AcPm2Pb | PBE-GGA | optimized geometry

Output
DFT formation energy = 0.04 eV per atom
total energy = -51.5 eV for the cell shown
energy relative to the lowest polymorph listed for this composition = 320 meV per atom
total moment = 0.000 μB per formula unit
volume = 35.936 A^3/atom

The structure in CIF format:
```
data_AcPm2Pb
_symmetry_space_group_name_H-M 'P 1'
_symmetry_Int_Tables_number 1
_cell_length_a 3.643
_cell_length_b 3.643
_cell_length_c 37.513
_cell_angle_alpha 90.00
_cell_angle_beta 90.00
_cell_angle_gamma 120.00
loop_
_symmetry_equiv_pos_as_xyz
'x,y,z'
loop_
_atom_site_label
_atom_site_type_symbol
_atom_site_fract_x
_atom_site_fract_y
_atom_site_fract_z
Ac1 Ac 0.000 0.000 0.000
Ac2 Ac 0.333 0.667 0.667
Ac3 Ac 0.667 0.333 0.333
Pm1 Pm 0.000 0.000 0.096
Pm2 Pm 0.000 0.000 0.904
Pm3 Pm 0.333 0.667 0.571
Pm4 Pm 0.333 0.667 0.762
Pm5 Pm 0.667 0.333 0.238
Pm6 Pm 0.667 0.333 0.429
Pb1 Pb 0.000 0.000 0.500
Pb2 Pb 0.333 0.667 0.167
Pb3 Pb 0.667 0.333 0.833
```

Entry 4:
Pm2ZrSb | PBE-GGA | optimized geometry

Output
total energy = -91.7 eV for the cell shown
energy relative to the lowest polymorph listed for this composition = 206 meV per atom
total moment = 1.923 μB per formula unit
energy relative to the elements, uncorrected = -17.95 kJ per mole of atoms
volume = 28.031 A^3/atom

The structure in CIF format:
```
data_Pm2ZrSb
_symmetry_space_group_name_H-M 'P 1'
_symmetry_Int_Tables_number 1
_cell_length_a 7.655
_cell_length_b 7.655
_cell_length_c 7.655
_cell_angle_alpha 90.00
_cell_angle_beta 90.00
_cell_angle_gamma 90.00
loop_
_symmetry_equiv_pos_as_xyz
'x,y,z'
loop_
_atom_site_label
_atom_site_type_symbol
_atom_site_fract_x
_atom_site_fract_y
_atom_site_fract_z
Pm1 Pm 0.250 0.250 0.250
Pm2 Pm 0.250 0.250 0.750
Pm3 Pm 0.250 0.750 0.250
Pm4 Pm 0.250 0.750 0.750
Pm5 Pm 0.750 0.250 0.250
Pm6 Pm 0.750 0.250 0.750
Pm7 Pm 0.750 0.750 0.250
Pm8 Pm 0.750 0.750 0.750
Zr1 Zr 0.000 0.000 0.000
Zr2 Zr 0.000 0.500 0.500
Zr3 Zr 0.500 0.000 0.500
Zr4 Zr 0.500 0.500 0.000
Sb1 Sb 0.000 0.000 0.500
Sb2 Sb 0.000 0.500 0.000
Sb3 Sb 0.500 0.000 0.000
Sb4 Sb 0.500 0.500 0.500
```

Entry 5:
CdInFe2 | PBE-GGA | optimized geometry

Output
DFT formation energy = 0.41 eV per atom
total energy = -37.8 eV for the cell shown
total moment = 4.956 μB per formula unit
volume = 16.691 A^3/atom

The structure in CIF format:
```
data_CdInFe2
_symmetry_space_group_name_H-M 'P 1'
_symmetry_Int_Tables_number 1
_cell_length_a 9.184
_cell_length_b 2.881
_cell_length_c 5.119
_cell_angle_alpha 90.00
_cell_angle_beta 99.62
_cell_angle_gamma 90.00
loop_
_symmetry_equiv_pos_as_xyz
'x,y,z'
loop_
_atom_site_label
_atom_site_type_symbol
_atom_site_fract_x
_atom_site_fract_y
_atom_site_fract_z
Cd1 Cd 0.000 0.000 0.000
Cd2 Cd 0.500 0.500 0.000
In1 In 0.000 0.500 0.500
In2 In 0.500 0.000 0.500
Fe1 Fe 0.249 0.000 0.747
Fe2 Fe 0.251 0.500 0.253
Fe3 Fe 0.749 0.500 0.747
Fe4 Fe 0.751 0.000 0.253
```

Entry 6:
H2PbW2 | PBE-GGA | optimized geometry

Output
total energy = -61.9 eV for the cell shown
energy relative to the lowest polymorph listed for this composition = 467 meV per atom
total moment = 0.000 μB per formula unit
volume = 15.045 A^3/atom

The structure in CIF format:
```
data_H2PbW2
_symmetry_space_group_name_H-M 'P 1'
_symmetry_Int_Tables_number 1
_cell_length_a 7.132
_cell_length_b 7.132
_cell_length_c 2.958
_cell_angle_alpha 90.00
_cell_angle_beta 90.00
_cell_angle_gamma 90.00
loop_
_symmetry_equiv_pos_as_xyz
'x,y,z'
loop_
_atom_site_label
_atom_site_type_symbol
_atom_site_fract_x
_atom_site_fract_y
_atom_site_fract_z
H1 H 0.089 0.411 0.000
H2 H 0.411 0.911 0.000
H3 H 0.589 0.089 0.000
H4 H 0.911 0.589 0.000
Pb1 Pb 0.000 0.000 0.500
Pb2 Pb 0.500 0.500 0.500
W1 W 0.118 0.618 0.500
W2 W 0.382 0.118 0.500
W3 W 0.618 0.882 0.500
W4 W 0.882 0.382 0.500
```

Entry 7:
LiAgAu2 | PBE-GGA | optimized geometry

Output
DFT formation energy = -0.31 eV per atom
total energy = -25.1 eV for the cell shown
energy relative to the lowest polymorph listed for this composition = 0 meV per atom
total moment = 0.000 μB per formula unit
volume = 16.887 A^3/atom

The structure in CIF format:
```
data_LiAgAu2
_symmetry_space_group_name_H-M 'P 1'
_symmetry_Int_Tables_number 1
_cell_length_a 4.037
_cell_length_b 4.037
_cell_length_c 8.291
_cell_angle_alpha 90.00
_cell_angle_beta 90.00
_cell_angle_gamma 90.00
loop_
_symmetry_equiv_pos_as_xyz
'x,y,z'
loop_
_atom_site_label
_atom_site_type_symbol
_atom_site_fract_x
_atom_site_fract_y
_atom_site_fract_z
Li1 Li 0.000 0.000 0.000
Li2 Li 0.500 0.500 0.500
Ag1 Ag 0.000 0.000 0.500
Ag2 Ag 0.500 0.500 0.000
Au1 Au 0.000 0.500 0.250
Au2 Au 0.000 0.500 0.750
Au3 Au 0.500 0.000 0.250
Au4 Au 0.500 0.000 0.750
```

Entry 8:
Tb3PrTm | PBE-GGA | optimized geometry

Output
DFT formation energy = 0.06 eV per atom
total energy = -91.3 eV for the cell shown
energy relative to the lowest polymorph listed for this composition = 0 meV per atom
total moment = 0.000 μB per formula unit
volume = 32.520 A^3/atom

The structure in CIF format:
```
data_Tb3PrTm
_symmetry_space_group_name_H-M 'P 1'
_symmetry_Int_Tables_number 1
_cell_length_a 9.627
_cell_length_b 6.112
_cell_length_c 11.640
_cell_angle_alpha 90.00
_cell_angle_beta 108.25
_cell_angle_gamma 90.00
loop_
_symmetry_equiv_pos_as_xyz
'x,y,z'
loop_
_atom_site_label
_atom_site_type_symbol
_atom_site_fract_x
_atom_site_fract_y
_atom_site_fract_z
Tb1 Tb 0.007 0.173 0.382
Tb2 Tb 0.007 0.327 0.882
Tb3 Tb 0.398 0.621 0.222
Tb4 Tb 0.398 0.879 0.722
Tb5 Tb 0.405 0.239 0.479
Tb6 Tb 0.405 0.261 0.979
Tb7 Tb 0.595 0.739 0.021
Tb8 Tb 0.595 0.761 0.521
Tb9 Tb 0.602 0.121 0.278
Tb10 Tb 0.602 0.379 0.778
Tb11 Tb 0.993 0.673 0.118
Tb12 Tb 0.993 0.827 0.618
Pr1 Pr 0.198 0.137 0.176
Pr2 Pr 0.198 0.363 0.676
Pr3 Pr 0.802 0.637 0.324
Pr4 Pr 0.802 0.863 0.824
Tm1 Tm 0.206 0.709 0.427
Tm2 Tm 0.206 0.791 0.927
Tm3 Tm 0.794 0.209 0.073
Tm4 Tm 0.794 0.291 0.573
```

Entry 9:
LiVSe3 | PBE-GGA | optimized geometry

Output
total energy = -19.8 eV for the cell shown
energy relative to the lowest polymorph listed for this composition = 1085 meV per atom
total moment = 2.549 μB per formula unit
energy relative to the elements, uncorrected = 33.02 kJ per mole of atoms
volume = 19.966 A^3/atom

The structure in CIF format:
```
data_LiVSe3
_symmetry_space_group_name_H-M 'P 1'
_symmetry_Int_Tables_number 1
_cell_length_a 4.639
_cell_length_b 4.639
_cell_length_c 4.639
_cell_angle_alpha 90.00
_cell_angle_beta 90.00
_cell_angle_gamma 90.00
loop_
_symmetry_equiv_pos_as_xyz
'x,y,z'
loop_
_atom_site_label
_atom_site_type_symbol
_atom_site_fract_x
_atom_site_fract_y
_atom_site_fract_z
Li1 Li 0.000 0.000 0.000
V1 V 0.500 0.500 0.500
Se1 Se 0.000 0.000 0.500
Se2 Se 0.000 0.500 0.000
Se3 Se 0.500 0.000 0.000
```